Entry 1:
TbCoNO: optimized geometry, PBE with a Hubbard U.

**Energy above the lowest structure with this stoichiometry**: 0.147 eV/atom
**Space group**: Cm, No. 8
**Crystal system**: monoclinic

a = 4.390 Å, b = 4.806 Å, c = 4.807 Å
α = 88.83°, β = 90.00°, γ = 89.99°
Site moments in Bohr magnetons follow the coordinates.
Atoms (fractional coordinates):
Co  0.999  0.748  0.252  2.67
Co  0.001  0.237  0.763  2.69
N  0.501  0.749  0.251  0.10
N  0.499  0.250  0.750  0.10
O  0.000  0.253  0.236  0.13
O  0.000  0.765  0.748  0.13
Tb  0.500  0.250  0.252  0.00
Tb  0.500  0.748  0.750  0.00

---

Entry 2:
TbCoNO: optimized geometry, PBE with a Hubbard U.

**Energy above the lowest structure with this stoichiometry**: 0.081 eV/atom
**Space group**: Pmc2_1, No. 26
**Crystal system**: orthorhombic

a = 3.725 Å, b = 4.972 Å, c = 6.033 Å
α = 90.00°, β = 90.00°, γ = 90.00°
Atoms (fractional coordinates):
Co  0.500  0.973  0.193
Co  0.500  0.473  0.807
N  0.000  0.937  0.321
N  0.000  0.437  0.679
O  0.500  0.389  0.128
O  0.500  0.889  0.872
Tb  0.000  0.456  0.301
Tb  0.000  0.956  0.699